#P
# PBE Ag4Pd3Au4, optimized geometry
data_Ag4Pd3Au4
_cell_length_a 2.8971
_cell_length_b 4.0907
_cell_length_c 16.1102
_cell_angle_alpha 97.29
_cell_angle_beta 94.99
_cell_angle_gamma 90.12
_symmetry_space_group_name_H-M 'P -1'
_symmetry_Int_Tables_number 2
_symmetry_space_group_name_Hall '-P 1'
loop_
_atom_site_label
_atom_site_type_symbol
_atom_site_fract_x
_atom_site_fract_y
_atom_site_fract_z
_atom_site_occupancy
Ag1 Ag 0.0908 0.0905 0.1816 1
Ag2 Ag 0.2737 0.2736 0.5468 1
Pd1 Pd 0.0000 0.0000 0.0000 1
Pd2 Pd 0.3641 0.3645 0.7283 1
Au1 Au 0.1803 0.1801 0.3609 1
Au2 Au 0.4553 0.4551 0.9099 1
# D(E_F) = 4.74 states/eV/cell


#Q
# PBE Ag4Pd3Au4, optimized geometry
data_Ag4Pd3Au4
_cell_length_a 8.1421
_cell_length_b 4.0514
_cell_length_c 12.1045
_cell_angle_alpha 90.00
_cell_angle_beta 90.00
_cell_angle_gamma 90.00
_symmetry_space_group_name_H-M 'A m m 2'
_symmetry_Int_Tables_number 38
_symmetry_space_group_name_Hall 'A 2 -2'
loop_
_atom_site_label
_atom_site_type_symbol
_atom_site_fract_x
_atom_site_fract_y
_atom_site_fract_z
_atom_site_occupancy
Ag1 Ag 0.0000 0.0000 0.0000 1
Ag2 Ag 0.2456 0.0000 0.4979 1
Ag3 Ag 0.5000 0.0000 0.9969 1
Pd1 Pd 0.2453 0.0000 0.8278 1
Pd2 Pd 0.5000 0.0000 0.6659 1
Au1 Au 0.0000 0.0000 0.3245 1
Au2 Au 0.2470 0.0000 0.1641 1
Au3 Au 0.5000 0.0000 0.3295 1
# D(E_F) = 9.15 states/eV/cell


Which of them is most stable, and which least? Most stable: #P; least stable: #Q.


#P
# PBE Ag6Pd4Au, optimized geometry
data_Ag6Pd4Au
_cell_length_a 5.4055
_cell_length_b 5.4055
_cell_length_c 14.1036
_cell_angle_alpha 90.00
_cell_angle_beta 90.00
_cell_angle_gamma 90.00
_symmetry_space_group_name_H-M 'I -4 2 m'
_symmetry_Int_Tables_number 121
_symmetry_space_group_name_Hall 'I -4 2'
loop_
_atom_site_label
_atom_site_type_symbol
_atom_site_fract_x
_atom_site_fract_y
_atom_site_fract_z
_atom_site_occupancy
Ag1 Ag 0.0000 0.5000 0.0000 1
Ag2 Ag 0.1887 0.1887 0.1421 1
Pd1 Pd 0.1912 0.1912 0.3340 1
Au1 Au 0.0000 0.0000 0.5000 1
# D(E_F) = 8.11 states/eV/cell


#Q
# PBE Ag6Pd4Au, optimized geometry
data_Ag6Pd4Au
_cell_length_a 6.2326
_cell_length_b 6.2326
_cell_length_c 11.1698
_cell_angle_alpha 90.00
_cell_angle_beta 90.00
_cell_angle_gamma 90.00
_symmetry_space_group_name_H-M 'I -4 2 m'
_symmetry_Int_Tables_number 121
_symmetry_space_group_name_Hall 'I -4 2'
loop_
_atom_site_label
_atom_site_type_symbol
_atom_site_fract_x
_atom_site_fract_y
_atom_site_fract_z
_atom_site_occupancy
Ag1 Ag 0.0000 0.5000 0.0000 1
Ag2 Ag 0.2343 0.2343 0.1701 1
Pd1 Pd 0.1527 0.1527 0.4012 1
Au1 Au 0.0000 0.0000 0.0000 1
# D(E_F) = 5.23 states/eV/cell


Which of them is most stable, and which least? Most stable: #P; least stable: #Q.


#P
# PBE Ag3Pd2Au4, optimized geometry
data_Ag3Pd2Au4
_cell_length_a 12.3805
_cell_length_b 4.1658
_cell_length_c 6.3672
_cell_angle_alpha 90.00
_cell_angle_beta 108.27
_cell_angle_gamma 90.00
_symmetry_space_group_name_H-M 'C 1 2/m 1'
_symmetry_Int_Tables_number 12
_symmetry_space_group_name_Hall '-C 2y'
loop_
_atom_site_label
_atom_site_type_symbol
_atom_site_fract_x
_atom_site_fract_y
_atom_site_fract_z
_atom_site_occupancy
Ag1 Ag 0.0000 0.0000 0.0000 1
Ag2 Ag 0.1132 0.0000 0.6713 1
Pd1 Pd 0.1663 0.5000 0.0009 1
Au1 Au 0.0549 0.5000 0.3304 1
Au2 Au 0.2229 0.0000 0.3261 1
# D(E_F) = 6.72 states/eV/cell


#Q
# PBE Ag3Pd2Au4, optimized geometry
data_Ag3Pd2Au4
_cell_length_a 4.0794
_cell_length_b 4.9948
_cell_length_c 8.8032
_cell_angle_alpha 73.58
_cell_angle_beta 76.89
_cell_angle_gamma 65.96
_symmetry_space_group_name_H-M 'P -1'
_symmetry_Int_Tables_number 2
_symmetry_space_group_name_Hall '-P 1'
loop_
_atom_site_label
_atom_site_type_symbol
_atom_site_fract_x
_atom_site_fract_y
_atom_site_fract_z
_atom_site_occupancy
Ag1 Ag 0.0000 0.0000 0.0000 1
Ag2 Ag 0.3328 0.7792 0.5557 1
Pd1 Pd 0.3327 0.1127 0.2215 1
Au1 Au 0.0008 0.3304 0.6683 1
Au2 Au 0.3332 0.4447 0.8885 1
# D(E_F) = 3.04 states/eV/cell


Which of them is most stable, and which least? Most stable: #Q; least stable: #P.


#P
# PBE Ag6Pd2Au3, optimized geometry
data_Ag6Pd2Au3
_cell_length_a 5.0009
_cell_length_b 6.5254
_cell_length_c 6.5367
_cell_angle_alpha 107.33
_cell_angle_beta 98.01
_cell_angle_gamma 105.19
_symmetry_space_group_name_H-M 'P -1'
_symmetry_Int_Tables_number 2
_symmetry_space_group_name_Hall '-P 1'
loop_
_atom_site_label
_atom_site_type_symbol
_atom_site_fract_x
_atom_site_fract_y
_atom_site_fract_z
_atom_site_occupancy
Ag1 Ag 0.0885 0.3606 0.3185 1
Ag2 Ag 0.1832 0.7290 0.1407 1
Ag3 Ag 0.2759 0.0909 0.9544 1
Pd1 Pd 0.4573 0.8192 0.5898 1
Au1 Au 0.0000 0.0000 0.5000 1
Au2 Au 0.3668 0.4588 0.7698 1
# D(E_F) = 3.17 states/eV/cell


#Q
# PBE Ag6Pd2Au3, optimized geometry
data_Ag6Pd2Au3
_cell_length_a 3.9643
_cell_length_b 3.9643
_cell_length_c 27.4220
_cell_angle_alpha 90.00
_cell_angle_beta 90.00
_cell_angle_gamma 90.00
_symmetry_space_group_name_H-M 'I 4/m m m'
_symmetry_Int_Tables_number 139
_symmetry_space_group_name_Hall '-I 4 2'
loop_
_atom_site_label
_atom_site_type_symbol
_atom_site_fract_x
_atom_site_fract_y
_atom_site_fract_z
_atom_site_occupancy
Ag1 Ag 0.0000 0.0000 0.2486 1
Ag2 Ag 0.0000 0.5000 0.0735 1
Pd1 Pd 0.0000 0.0000 0.1503 1
Au1 Au 0.0000 0.0000 0.3481 1
Au2 Au 0.0000 0.0000 0.5000 1
# D(E_F) = 7.00 states/eV/cell


Which of them is most stable, and which least? Most stable: #P; least stable: #Q.


#P
# PBE Ag2Pd2Au3, optimized geometry
data_Ag2Pd2Au3
_cell_length_a 4.6056
_cell_length_b 2.8004
_cell_length_c 9.9981
_cell_angle_alpha 90.00
_cell_angle_beta 103.23
_cell_angle_gamma 90.00
_symmetry_space_group_name_H-M 'P 1 2/m 1'
_symmetry_Int_Tables_number 10
_symmetry_space_group_name_Hall '-P 2y'
loop_
_atom_site_label
_atom_site_type_symbol
_atom_site_fract_x
_atom_site_fract_y
_atom_site_fract_z
_atom_site_occupancy
Ag1 Ag 0.0760 0.0000 0.1515 1
Pd1 Pd 0.3607 0.5000 0.7221 1
Au1 Au 0.2121 0.5000 0.4242 1
Au2 Au 0.5000 0.5000 0.0000 1
# D(E_F) = 1.82 states/eV/cell


#Q
# PBE Ag2Pd2Au3, optimized geometry
data_Ag2Pd2Au3
_cell_length_a 5.0298
_cell_length_b 7.6330
_cell_length_c 6.8075
_cell_angle_alpha 90.00
_cell_angle_beta 106.55
_cell_angle_gamma 90.00
_symmetry_space_group_name_H-M 'P 1 21/c 1'
_symmetry_Int_Tables_number 14
_symmetry_space_group_name_Hall '-P 2ybc'
loop_
_atom_site_label
_atom_site_type_symbol
_atom_site_fract_x
_atom_site_fract_y
_atom_site_fract_z
_atom_site_occupancy
Ag1 Ag 0.1472 0.1592 0.3867 1
Pd1 Pd 0.4140 0.0219 0.7870 1
Au1 Au 0.0000 0.0000 0.0000 1
Au2 Au 0.2907 0.6999 0.9349 1
# D(E_F) = 3.89 states/eV/cell


Which of them is most stable, and which least? Most stable: #Q; least stable: #P.


#P
# PBE AgPd5Au2, optimized geometry
data_AgPd5Au2
_cell_length_a 5.7434
_cell_length_b 11.4997
_cell_length_c 3.9540
_cell_angle_alpha 90.00
_cell_angle_beta 90.00
_cell_angle_gamma 90.00
_symmetry_space_group_name_H-M 'P b a m'
_symmetry_Int_Tables_number 55
_symmetry_space_group_name_Hall '-P 2 2ab'
loop_
_atom_site_label
_atom_site_type_symbol
_atom_site_fract_x
_atom_site_fract_y
_atom_site_fract_z
_atom_site_occupancy
Ag1 Ag 0.0000 0.0000 0.0000 1
Pd1 Pd 0.0000 0.5000 0.0000 1
Pd2 Pd 0.0066 0.2505 0.0000 1
Pd3 Pd 0.2426 0.6268 0.5000 1
Au1 Au 0.2474 0.8744 0.5000 1
# D(E_F) = 23.75 states/eV/cell


#Q
# PBE AgPd5Au2, optimized geometry
data_AgPd5Au2
_cell_length_a 9.3373
_cell_length_b 9.8408
_cell_length_c 5.6917
_cell_angle_alpha 90.00
_cell_angle_beta 90.00
_cell_angle_gamma 90.00
_symmetry_space_group_name_H-M 'P b a m'
_symmetry_Int_Tables_number 55
_symmetry_space_group_name_Hall '-P 2 2ab'
loop_
_atom_site_label
_atom_site_type_symbol
_atom_site_fract_x
_atom_site_fract_y
_atom_site_fract_z
_atom_site_occupancy
Ag1 Ag 0.2479 0.0851 0.0000 1
Pd1 Pd 0.0000 0.0000 0.2495 1
Pd2 Pd 0.9998 0.2483 0.5000 1
Pd3 Pd 0.0007 0.2475 0.0000 1
Pd4 Pd 0.2480 0.8340 0.2501 1
Au1 Au 0.0000 0.5000 0.2496 1
Au2 Au 0.2462 0.0861 0.5000 1
# D(E_F) = 48.41 states/eV/cell


Which of them is most stable, and which least? Most stable: #P; least stable: #Q.